No. 1
The following is a DFT calculation (PBE-GGA) of Mg2Tl2Ge after structural relaxation.

Cell lengths 7.1123, 7.1123, 5.0620 Å; angles 90.00, 90.00, 90.00 degrees
With the nearest neighbours (Å) after each atom.
Fractional coordinates of all 10 atoms:
Mg  0.6525  0.1525  0.0000  2 Ge 2.70
Mg  0.1525  0.3475  0.0000  2 Ge 2.70
Mg  0.8475  0.6525  0.0000  2 Ge 2.70
Mg  0.3475  0.8475  0.0000  2 Ge 2.70
Ge  0.5000  0.5000  0.0000  4 Mg 2.70
Ge  0.0000  0.0000  0.0000  4 Mg 2.70
Tl  0.6671  0.8329  0.5000  6 Mg 3.11-3.40, 1 Tl 3.36
Tl  0.3329  0.1671  0.5000  6 Mg 3.11-3.40, 1 Tl 3.36
Tl  0.1671  0.6671  0.5000  6 Mg 3.11-3.40, 1 Tl 3.36
Tl  0.8329  0.3329  0.5000  6 Mg 3.11-3.40, 1 Tl 3.36

Energy above the lowest structure with this stoichiometry: 0 meV per atom
Space-group type: No. 127


No. 2
The following is a DFT calculation (PBE-GGA) of MgTlGe3 after structural relaxation.

Cell lengths 5.1019, 5.1019, 5.1019 Å; angles 90.00, 90.00, 90.00 degrees
With the nearest neighbours (Å) after each atom.
Fractional coordinates of all 5 atoms:
Ge  0.0000  0.0000  0.5000  2 Mg 2.55
Ge  0.0000  0.5000  0.0000  2 Mg 2.55
Ge  0.5000  0.0000  0.0000  2 Mg 2.55
Mg  0.0000  0.0000  0.0000  6 Ge 2.55
Tl  0.5000  0.5000  0.5000  12 Ge 3.61

Energy above the lowest structure with this stoichiometry: 0 meV per atom
Space-group type: No. 221


No. 3
The following is a DFT calculation (PBE-GGA) of Mg2Tl2Ge after structural relaxation.

Cell lengths 8.5554, 8.5554, 3.3624 Å; angles 90.00, 90.00, 90.00 degrees
With the nearest neighbours (Å) after each atom.
Fractional coordinates of all 10 atoms:
Tl  0.6607  0.1607  0.0000  6 Mg 2.95-3.07, 2 Ge 3.21
Tl  0.1607  0.3393  0.0000  6 Mg 2.95-3.07, 2 Ge 3.21
Tl  0.3393  0.8393  0.0000  6 Mg 2.95-3.07, 2 Ge 3.21
Tl  0.8393  0.6607  0.0000  6 Mg 2.95-3.07, 2 Ge 3.21
Ge  0.5000  0.5000  0.0000  4 Tl 3.21, 2 Ge 3.36
Ge  0.0000  0.0000  0.0000  4 Tl 3.21, 2 Ge 3.36
Mg  0.6392  0.8608  0.5000  6 Tl 2.95-3.07
Mg  0.3608  0.1392  0.5000  6 Tl 2.95-3.07
Mg  0.8608  0.3608  0.5000  6 Tl 2.95-3.07
Mg  0.1392  0.6392  0.5000  6 Tl 2.95-3.07

Energy above the lowest structure with this stoichiometry: 120 meV per atom
Space-group type: No. 127


No. 4
The following is a DFT calculation (PBE-GGA) of MgTl3Ge after structural relaxation.

Cell lengths 5.4663, 5.4663, 5.4663 Å; angles 90.00, 90.00, 90.00 degrees
With the nearest neighbours (Å) after each atom.
Fractional coordinates of all 5 atoms:
Mg  0.0000  0.0000  0.0000  6 Tl 2.73
Tl  0.0000  0.0000  0.5000  2 Mg 2.73
Tl  0.0000  0.5000  0.0000  2 Mg 2.73
Tl  0.5000  0.0000  0.0000  2 Mg 2.73
Ge  0.5000  0.5000  0.5000  12 Tl 3.87

Energy above the lowest structure with this stoichiometry: 160 meV per atom
Space-group type: No. 221


No. 5
The following is a DFT calculation (PBE-GGA) of MgTl3Ge after structural relaxation.

Cell lengths 5.6113, 5.6113, 5.6113 Å; angles 90.00, 90.00, 90.00 degrees
With the nearest neighbours (Å) after each atom.
Fractional coordinates of all 5 atoms:
Ge  0.0000  0.0000  0.0000  6 Tl 2.81
Mg  0.5000  0.5000  0.5000  12 Tl 3.97
Tl  0.0000  0.5000  0.0000  2 Ge 2.81
Tl  0.5000  0.0000  0.0000  2 Ge 2.81
Tl  0.0000  0.0000  0.5000  2 Ge 2.81

Energy above the lowest structure with this stoichiometry: 0 meV per atom
Space-group type: No. 221


No. 6
The following is a DFT calculation (PBE-GGA) of TmMg2Ge after structural relaxation.

Cell lengths 4.6820, 4.2708, 4.2708 Å; angles 90.00, 90.00, 90.00 degrees
With the nearest neighbours (Å) after each atom.
Fractional coordinates of all 4 atoms:
Tm  0.5000  0.0000  0.0000  4 Ge 3.02, 8 Mg 3.17
Mg  0.0000  0.5000  0.0000  4 Mg 3.02, 4 Ge 3.17, 4 Tm 3.17
Mg  0.0000  0.0000  0.5000  4 Mg 3.02, 4 Ge 3.17, 4 Tm 3.17
Ge  0.5000  0.5000  0.5000  4 Tm 3.02, 8 Mg 3.17

Space-group type: No. 123
Raw total energy: -3.4325 eV/atom


No. 7
The following is a DFT calculation (PBE-GGA) of TmMgZnGe after structural relaxation.

Cell lengths 4.8423, 4.8423, 4.8423 Å; angles 60.00, 60.00, 60.00 degrees
With the nearest neighbours (Å) after each atom.
Fractional coordinates of all 4 atoms:
Ge  0.5000  0.5000  0.5000  4 Mg 2.97, 4 Tm 2.97
Mg  0.2500  0.2500  0.2500  4 Ge 2.97, 4 Zn 2.97
Tm  0.7500  0.7500  0.7500  4 Ge 2.97, 4 Zn 2.97
Zn  0.0000  0.0000  0.0000  4 Tm 2.97, 4 Mg 2.97

Space-group type: No. 216
Raw total energy: -3.3045 eV/atom


No. 8
The following is a DFT calculation (PBE-GGA) of MgUGe after structural relaxation.

Cell lengths 5.5461, 4.8256, 6.8070 Å; angles 76.46, 65.96, 54.92 degrees
With the nearest neighbours (Å) after each atom.
Fractional coordinates of all 6 atoms:
Mg  0.1798  0.6405  0.0000  3 Mg 2.84-2.99, 2 Ge 2.86
Mg  0.8202  0.3595  0.0000  3 Mg 2.84-2.99, 2 Ge 2.86
Ge  0.3923  0.0000  0.2154  1 Ge 2.68, 2 Mg 2.86, 4 U 2.99
Ge  0.6077  0.0000  0.7846  1 Ge 2.68, 2 Mg 2.86, 4 U 2.99
U  0.2500  0.5000  0.5000  2 U 2.77, 4 Ge 2.99
U  0.7500  0.5000  0.5000  2 U 2.77, 4 Ge 2.99

Space-group type: No. 69
Raw total energy: -5.6668 eV/atom


No. 9
The following is a DFT calculation (PBE-GGA) of MgVGe3 after structural relaxation.

Cell lengths 4.7764, 4.7764, 4.7764 Å; angles 90.00, 90.00, 90.00 degrees
With the nearest neighbours (Å) after each atom.
Fractional coordinates of all 5 atoms:
Mg  0.5000  0.5000  0.5000  12 Ge 3.38
Ge  0.5000  0.0000  0.0000  2 V 2.39
Ge  0.0000  0.5000  0.0000  2 V 2.39
Ge  0.0000  0.0000  0.5000  2 V 2.39
V  0.0000  0.0000  0.0000  6 Ge 2.39

Energy above the lowest structure with this stoichiometry: 0 meV per atom
Space-group type: No. 221


No. 10
The following is a DFT calculation (PBE-GGA) of MgVGe2 after structural relaxation.

Cell lengths 2.9242, 2.9242, 9.9193 Å; angles 81.52, 81.52, 60.00 degrees
With the nearest neighbours (Å) after each atom.
Fractional coordinates of all 4 atoms:
Ge  0.9033  0.9033  0.2900  3 V 2.66, 1 Mg 2.83, 6 Ge 2.92
Ge  0.0967  0.0967  0.7100  3 V 2.66, 1 Mg 2.83, 6 Ge 2.92
V  0.5000  0.5000  0.5000  6 Ge 2.66, 6 V 2.92
Mg  0.0000  0.0000  0.0000  2 Ge 2.83, 6 Mg 2.92

Space-group type: No. 166
Raw total energy: -4.8762 eV/atom


No. 11
The following is a DFT calculation (PBE-GGA) of MgVGe2 after structural relaxation.

Cell lengths 3.3158, 3.3158, 5.9897 Å; angles 90.00, 90.00, 90.00 degrees
With the nearest neighbours (Å) after each atom.
Fractional coordinates of all 4 atoms:
Mg  0.5000  0.5000  0.5000  8 Ge 2.88, 2 V 2.99
Ge  0.0000  0.0000  0.7805  1 Ge 2.63, 4 V 2.69, 4 Mg 2.88
Ge  0.0000  0.0000  0.2195  1 Ge 2.63, 4 V 2.69, 4 Mg 2.88
V  0.5000  0.5000  0.0000  8 Ge 2.69, 2 Mg 2.99

Space-group type: No. 123
Raw total energy: -5.0408 eV/atom


No. 12
The following is a DFT calculation (PBE-GGA) of Mg2VGe2 after structural relaxation.

Cell lengths 3.7840, 3.7840, 7.6350 Å; angles 75.65, 75.65, 90.00 degrees
With the nearest neighbours (Å) after each atom.
Fractional coordinates of all 5 atoms:
Mg  0.3998  0.3998  0.2003  4 Ge 2.86, 1 Mg 2.87, 4 V 3.04
Mg  0.6002  0.6002  0.7997  4 Ge 2.86, 1 Mg 2.87, 4 V 3.04
V  0.0000  0.0000  0.0000  8 Mg 3.04
Ge  0.7500  0.2500  0.5000  4 Ge 2.68, 4 Mg 2.86
Ge  0.2500  0.7500  0.5000  4 Ge 2.68, 4 Mg 2.86

Energy above the lowest structure with this stoichiometry: 458 meV per atom
Space-group type: No. 139


No. 13
The following is a DFT calculation (PBE-GGA) of MgVGe2 after structural relaxation.

Cell lengths 7.1561, 7.1561, 5.8095 Å; angles 51.98, 51.98, 90.00 degrees
With the nearest neighbours (Å) after each atom.
Fractional coordinates of all 8 atoms:
Ge  0.1009  0.6250  0.2500  2 V 2.51, 2 Mg 2.75
Ge  0.3750  0.3509  0.7500  2 V 2.51, 2 Mg 2.75
Ge  0.6491  0.1250  0.2500  2 V 2.51, 2 Mg 2.75
Ge  0.8750  0.8991  0.7500  2 V 2.51, 2 Mg 2.75
Mg  0.2500  0.7500  0.5000  4 Ge 2.75, 2 V 2.85
Mg  0.5000  0.5000  0.0000  4 Ge 2.75, 2 V 2.85
V  0.7500  0.2500  0.5000  4 Ge 2.51
V  0.0000  0.0000  0.0000  4 Ge 2.51

Space-group type: No. 122
Raw total energy: -4.7059 eV/atom


Computed V (A^3/atom) in order:
25.606 26.560 24.611 32.666 35.336 21.349 20.071 22.694 21.794 18.097 16.464 20.478 18.269